This record from Alexandria describes a relaxed BaMnBr2 crystal. The functional is PBE-GGA.

Calculated values
Uncorrected formation energy, eV per atom: -0.5537
Space-group type: No. 166
Mass density, Mg/m³: 4.2
Polymorph energy (0 for the lowest one), kJ/mol of formula units: 92.2
N(E_F), states/eV per atom: 0.95
Total magnetic moment, Bohr magnetons per cell: 4.46

Lattice parameters (Å, degrees): 9.7881 9.7881 9.7881 24.32 24.32 24.32
Element x y z (fractional)
Mn  0.5000  0.5000  0.5000
Ba  0.0000  0.0000  0.0000
Br  0.8835  0.8835  0.8835
Br  0.1165  0.1165  0.1165


This record from Alexandria describes a relaxed BaMn2Br crystal. The functional is PBE-GGA.

Calculated values
Uncorrected formation energy, eV per atom: 0.1291
Space-group type: No. 6
Mass density, Mg/m³: 4.9
Polymorph energy (0 for the lowest one), kJ/mol of formula units: 36.9
N(E_F), states/eV per atom: 1.06
Total magnetic moment, Bohr magnetons per cell: 8.00

Lattice parameters (Å, degrees): 3.7402 3.8919 7.9175 75.83 90.00 90.00
Element x y z (fractional)
Ba  0.0000  0.5664  0.4939
Br  0.5000  0.9307  0.7660
Mn  0.0000  0.7762  0.0704
Mn  0.5000  0.2267  0.1697